First-principles (GGA-PBE) data for crystalline KBiSe2 at its relaxed geometry, as listed in Alexandria via LeMat-Bulk.

abc: 4.2885 4.2885 8.2895
angles: 75.01 75.01 60.00
With the nearest neighbours (Å) after each atom.
Sites, in units of the cell vectors:
1 Se 0.0711 0.0711 0.7868  3 Bi 2.99, 3 K 3.34
2 K 0.4985 0.4985 0.5044  6 Se 3.34-3.40
3 Se 0.2632 0.2632 0.2104  3 Bi 2.99
4 Bi 0.6672 0.6672 0.9983  6 Se 2.99

Properties
Theoretical density, g/cm³: 5.4
Formation energy without anion corrections, eV/atom: -0.7907